Record 1
A plane-wave DFT calculation with PBEsol was carried out for a relaxed SrTcBr2 crystal.

Properties
Its total magnetization is 3.0 μB per cell. The calculation puts the density of states at the Fermi level at 1.2 states/eV per cell. The calculation puts the uncorrected energy at -4.364 eV per atom. The symmetry is No. 225. As for the formation energy from raw total energies: -0.152 eV per atom.

```
4
Lattice="0.000 3.558 3.558 3.558 0.000 3.558 3.558 3.558 0.000" Properties=species:S:1:pos:R:3 pbc="T T T"
Sr 0.000 0.000 0.000
Tc 3.558 3.558 3.558
Br 1.779 1.779 1.779
Br 5.337 5.337 5.337
```

***

Record 2
A plane-wave DFT calculation with PBEsol was carried out for a relaxed NdTe crystal.

Properties
Its total magnetization is 0.0 μB per cell. The calculation puts the density of states at the Fermi level at 1.1 states/eV per cell. The calculation puts the uncorrected energy at -5.802 eV per atom. The symmetry is No. 225. As for the formation energy from raw total energies: -1.456 eV per atom.

```
2
Lattice="0.000 3.133 3.133 3.133 0.000 3.133 3.133 3.133 0.000" Properties=species:S:1:pos:R:3 pbc="T T T"
Nd 0.000 0.000 0.000
Te 3.133 3.133 3.133
```

***

Record 3
A plane-wave DFT calculation with PBEsol was carried out for a relaxed SrCrNF2 crystal.

Properties
Its total magnetization is 3.0 μB per cell. The calculation puts the density of states at the Fermi level at 3.7 states/eV per cell. The calculation puts the uncorrected energy at -5.542 eV per atom. The symmetry is No. 123. As for the formation energy from raw total energies: -0.649 eV per atom.

```
5
Lattice="4.443 0.000 0.000 0.000 4.443 0.000 0.000 0.000 5.074" Properties=species:S:1:pos:R:3 pbc="T T T"
Sr 0.000 0.000 0.000
Cr 2.221 2.221 2.537
N 0.000 0.000 2.537
F 0.000 2.221 0.000
F 2.221 0.000 0.000
```

***

Record 4
A plane-wave DFT calculation with PBEsol was carried out for a relaxed ZnCoO3 crystal.

Properties
Its total magnetization is 2.0 μB per cell. The calculation puts the density of states at the Fermi level at 7.5 states/eV per cell. The calculation puts the uncorrected energy at -6.132 eV per atom. The symmetry is No. 148. As for the formation energy from raw total energies: -1.119 eV per atom.

```
10
Lattice="2.443 1.411 4.506 -2.443 1.411 4.506 0.000 -2.822 4.506" Properties=species:S:1:pos:R:3 pbc="T T T"
Zn 0.000 0.000 1.793
Zn 0.000 0.000 11.724
Co 0.000 0.000 4.583
Co 0.000 0.000 8.934
O -0.961 -1.277 5.539
O -1.586 0.194 7.977
O -0.625 1.470 5.539
O 0.625 -1.470 7.977
O 1.586 -0.194 5.539
O 0.961 1.277 7.977
```

***

Record 5
A plane-wave DFT calculation with PBEsol was carried out for a relaxed SmIO crystal.

Properties
Its total magnetization is 0.0 μB per cell. The calculation puts the density of states at the Fermi level at 0.0 states/eV per cell. The calculation puts the uncorrected energy at -6.772 eV per atom. The symmetry is No. 129. As for the formation energy from raw total energies: -2.735 eV per atom.

```
6
Lattice="3.977 0.000 0.000 0.000 3.977 0.000 0.000 0.000 9.273" Properties=species:S:1:pos:R:3 pbc="T T T"
Sm 0.994 0.994 1.136
Sm 2.983 2.983 8.138
I 0.994 0.994 6.267
I 2.983 2.983 3.007
O 0.994 2.983 0.000
O 2.983 0.994 0.000
```

***

Record 6
A plane-wave DFT calculation with PBEsol was carried out for a relaxed Nd3CuSiS7 crystal.

Properties
Its total magnetization is 0.0 μB per cell. The calculation puts the uncorrected energy at -6.296 eV per atom. The symmetry is No. 173. As for the formation energy from raw total energies: -1.606 eV per atom.

```
24
Lattice="10.053 0.000 0.000 -5.027 8.706 0.000 0.000 0.000 5.694" Properties=species:S:1:pos:R:3 pbc="T T T"
Nd -0.531 3.110 0.000
Nd -2.068 7.611 0.000
Nd 2.428 2.015 2.847
Nd 2.599 6.692 0.000
Nd 7.095 1.095 2.847
Nd 5.558 5.597 2.847
Cu 0.000 0.000 2.727
Cu 0.000 0.000 5.574
Si 0.000 5.804 3.329
Si 5.027 2.902 0.482
S -0.380 2.199 2.779
S -1.847 5.105 4.150
S -2.932 7.936 2.779
S 1.715 1.429 5.626
S 0.000 5.804 1.226
S 1.529 4.555 4.150
S 0.317 7.753 4.150
S 4.709 0.953 1.303
S 3.498 4.151 1.303
S 5.027 2.902 4.073
S 3.312 7.277 2.779
S 7.958 0.770 5.626
S 6.873 3.602 1.303
S 5.407 6.507 5.626
```

***

uncorrected energy of number 2 (NdTe)?
-5.802 eV per atom